# 1
Computed, not measured: a geometry-optimized LiCa3Pm2S6 structure at the PBE level of DFT.

Cell: 6.9402 6.9402 6.9615 Å, 99.56 99.56 119.98°
Fractional coordinates of all 12 atoms:
Li1 0.0000 0.0000 0.0000
Ca1 0.1655 0.8345 0.5000
Ca2 0.8345 0.1655 0.5000
Ca3 0.5000 0.5000 0.5000
Pm1 0.3332 0.6668 0.0000
Pm2 0.6668 0.3332 0.0000
S1 0.9172 0.5857 0.7518
S2 0.7512 0.7512 0.2471
S3 0.0828 0.4143 0.2482
S4 0.5857 0.9172 0.7518
S5 0.2488 0.2488 0.7529
S6 0.4143 0.0828 0.2482

Results
* theoretical density: 3.69 g/cm3
* N(E_F): 0.294 states/eV/atom
* uncorrected formation energy: -2.000 eV per atom

***

# 2
Computed, not measured: a geometry-optimized LiCa2Pm3S6 structure at the PBE level of DFT.

Cell: 6.9156 6.9156 6.9829 Å, 99.50 99.50 120.00°
Fractional coordinates of all 12 atoms:
Li1 0.0000 0.0000 0.0000
Ca1 0.3335 0.6665 0.0000
Ca2 0.6665 0.3335 0.0000
Pm1 0.1665 0.8335 0.5000
Pm2 0.8335 0.1665 0.5000
Pm3 0.5000 0.5000 0.5000
S1 0.9182 0.5889 0.7545
S2 0.7525 0.7525 0.2453
S3 0.0818 0.4111 0.2455
S4 0.5889 0.9182 0.7545
S5 0.2475 0.2475 0.7547
S6 0.4111 0.0818 0.2455

Results
* theoretical density: 4.35 g/cm3
* N(E_F): 0.231 states/eV/atom
* uncorrected formation energy: -1.983 eV per atom